Entry 1:
A relaxed TaTiV3 crystal, computed with PBE.

For the energy above the most stable polymorph in this dataset, the calculation gives 816 meV per atom. The value obtained for the energy of formation is 1.12 eV/atom.

The structure in POSCAR format:
```
TaTiV3
1.0
-1.512 3.401 2.261
1.759 -1.633 3.633
3.685 2.175 -0.807
V Ta Ti
3 1 1
direct
0.000 0.000 0.500
0.000 0.500 0.000
0.500 0.000 0.000
0.500 0.500 0.500
0.000 0.000 0.000
```

***

Entry 2:
A relaxed TaTiVW crystal, computed with PBE.

The value obtained for the energy of formation is 0.01 eV/atom.

The structure in POSCAR format:
```
TaTiVW
1.0
4.516 0.000 0.000
2.258 3.911 0.000
2.258 1.304 3.688
Ta W V Ti
1 1 1 1
direct
0.750 0.750 0.750
0.500 0.500 0.500
0.000 0.000 0.000
0.250 0.250 0.250
```

***

Entry 3:
A relaxed Ta2TiVW crystal, computed with PBE.

The value obtained for the energy of formation is 1.72 eV/atom.

The structure in POSCAR format:
```
Ta2TiVW
1.0
4.693 0.000 0.000
0.000 4.466 0.000
0.000 0.000 4.693
V Ti Ta W
1 1 2 1
direct
0.500 0.500 0.500
0.000 0.000 0.000
0.000 0.000 0.500
0.500 0.000 0.000
0.000 0.500 0.000
```

***

Entry 4:
A relaxed YTa2TiV crystal, computed with PBE.

The value obtained for the energy of formation is 2.14 eV/atom.

The structure in POSCAR format:
```
YTa2TiV
1.0
4.954 0.000 0.000
0.000 4.496 0.000
0.000 0.000 4.954
Ti V Y Ta
1 1 1 2
direct
0.500 0.500 0.500
0.000 0.500 0.000
0.000 0.000 0.000
0.500 0.000 0.000
0.000 0.000 0.500
```

***

Entry 5:
A relaxed TaTiW crystal, computed with PBE.

For the energy above the most stable polymorph in this dataset, the calculation gives 672 meV per atom. The value obtained for the energy of formation is 0.63 eV/atom.

The structure in POSCAR format:
```
TaTiW
1.0
-1.040 4.273 0.213
-2.150 1.912 -3.334
-7.292 0.393 2.019
Ti Ta W
2 2 2
direct
0.624 0.624 0.128
0.376 0.376 0.872
0.126 0.126 0.622
0.874 0.874 0.378
0.750 0.750 0.751
0.250 0.250 0.249
```

***

Entry 6:
A relaxed Ta3TiW crystal, computed with PBE.

For the energy above the most stable polymorph in this dataset, the calculation gives 0 meV per atom. The value obtained for the energy of formation is 0.26 eV/atom.

The structure in POSCAR format:
```
Ta3TiW
1.0
6.931 -0.263 1.800
1.444 5.084 1.823
0.350 1.153 5.459
Ti W Ta
2 2 6
direct
0.712 0.948 0.948
0.288 0.052 0.052
0.499 0.246 0.246
0.501 0.754 0.754
0.711 0.447 0.447
0.891 0.902 0.402
0.891 0.402 0.902
0.109 0.098 0.598
0.289 0.553 0.553
0.109 0.598 0.098
```

***

Entry 7:
A relaxed Ta3TiW crystal, computed with PBE.

For the energy above the most stable polymorph in this dataset, the calculation gives 117 meV per atom. The value obtained for the energy of formation is 0.38 eV/atom.

The structure in POSCAR format:
```
Ta3TiW
1.0
-0.388 1.455 -5.030
-6.812 -2.336 -0.150
-3.154 9.015 2.852
Ta Ti W
12 4 4
direct
0.000 0.103 0.396
0.750 0.750 0.250
0.250 0.750 0.250
0.500 0.603 0.604
0.500 0.603 0.896
0.750 0.250 0.750
0.000 0.897 0.604
0.000 0.897 0.896
0.500 0.397 0.396
0.500 0.397 0.104
0.250 0.250 0.750
0.000 0.103 0.104
0.000 0.500 0.500
0.500 0.000 0.500
0.500 0.000 0.000
0.000 0.500 0.000
0.000 0.403 0.250
0.000 0.597 0.750
0.500 0.903 0.750
0.500 0.097 0.250
```

***

Entry 8:
A relaxed TaTiW3 crystal, computed with PBE.

For the energy above the most stable polymorph in this dataset, the calculation gives 411 meV per atom. The value obtained for the energy of formation is 0.34 eV/atom.

The structure in POSCAR format:
```
TaTiW3
1.0
-1.472 -3.761 -2.642
2.943 1.692 -4.047
5.899 -1.721 3.570
W Ta Ti
6 2 2
direct
0.306 0.503 0.613
0.694 0.003 0.387
0.887 0.250 0.774
0.113 0.750 0.226
0.694 0.497 0.387
0.306 0.997 0.613
0.899 0.750 0.798
0.101 0.250 0.202
0.508 0.750 0.015
0.492 0.250 0.985
```

***

- Which of these has the highest energy of formation?
  YTa2TiV

***

- energy of formation of number 8 (TaTiW3)?
  0.34 eV/atom

***

What did the fourth record say?
A relaxed YTa2TiV crystal, computed with PBE.

The value obtained for the energy of formation is 2.14 eV/atom.

The structure in POSCAR format:
```
YTa2TiV
1.0
4.954 0.000 0.000
0.000 4.496 0.000
0.000 0.000 4.954
Ti V Y Ta
1 1 1 2
direct
0.500 0.500 0.500
0.000 0.500 0.000
0.000 0.000 0.000
0.500 0.000 0.000
0.000 0.000 0.500
```